# ThInPd14 GGA-PBE relaxed
data_ThInPd14
_cell_length_a 5.7952
_cell_length_b 5.7952
_cell_length_c 7.8695
_cell_angle_alpha 90.00
_cell_angle_beta 90.00
_cell_angle_gamma 90.00
_symmetry_space_group_name_H-M 'P 1'
_symmetry_Int_Tables_number 1
loop_
_symmetry_equiv_pos_as_xyz
'x,y,z'
loop_
_atom_site_label
_atom_site_type_symbol
_atom_site_fract_x
_atom_site_fract_y
_atom_site_fract_z
Th1 Th 0.0000 0.0000 0.0000
In1 In 0.5000 0.5000 0.0000
Pd1 Pd 0.0000 0.0000 0.5000
Pd2 Pd 0.0000 0.5000 0.0000
Pd3 Pd 0.0000 0.5000 0.5000
Pd4 Pd 0.2521 0.2521 0.2566
Pd5 Pd 0.2521 0.2521 0.7434
Pd6 Pd 0.2521 0.7479 0.2566
Pd7 Pd 0.2521 0.7479 0.7434
Pd8 Pd 0.5000 0.0000 0.0000
Pd9 Pd 0.5000 0.0000 0.5000
Pd10 Pd 0.5000 0.5000 0.5000
Pd11 Pd 0.7479 0.2521 0.2566
Pd12 Pd 0.7479 0.2521 0.7434
Pd13 Pd 0.7479 0.7479 0.2566
Pd14 Pd 0.7479 0.7479 0.7434
# - D(E_F): 22.85 states/eV/f.u.
# - Crystal system: tetragonal
# - Size of the total moment: 0.00 μB/f.u.
# - Final energy: -88.44 eV per cell